No. 1
# PBE MgIn2Ir2, optimized geometry
# M_tot: 0.00 Bohr magnetons per cell
# formation energy from the elements: 0.040 eV/atom
# E_tot: -49.2 eV for the cell shown
data_MgIn2Ir2
_chemical_formula_sum 'Mg2 In4 Ir4'
_space_group_name_H-M_alt 'I 4/m m m'
_space_group_IT_number 139
_space_group_name_Hall '-I 4 2'
_cell_length_a 4.2275
_cell_length_b 4.2275
_cell_length_c 11.7283
_cell_angle_alpha 90.00
_cell_angle_beta 90.00
_cell_angle_gamma 90.00
loop_
_atom_site_label
_atom_site_type_symbol
_atom_site_fract_x
_atom_site_fract_y
_atom_site_fract_z
_atom_site_occupancy
Mg1 Mg 0.0000 0.0000 0.0000 1
In1 In 0.0000 0.5000 0.2500 1
Ir1 Ir 0.0000 0.0000 0.3950 1

***

No. 2
# PBE MgInIr2, optimized geometry
# M_tot: 0.00 Bohr magnetons per cell
# formation energy from the elements: 0.011 eV/atom
# E_tot: -66.0 eV for the cell shown
data_MgInIr2
_chemical_formula_sum 'Mg3 In3 Ir6'
_space_group_name_H-M_alt 'R -3 m'
_space_group_IT_number 166
_space_group_name_Hall '-R 3 2"'
_cell_length_a 2.9919
_cell_length_b 2.9919
_cell_length_c 25.8872
_cell_angle_alpha 90.00
_cell_angle_beta 90.00
_cell_angle_gamma 120.00
loop_
_atom_site_label
_atom_site_type_symbol
_atom_site_fract_x
_atom_site_fract_y
_atom_site_fract_z
_atom_site_occupancy
Mg1 Mg 0.0000 0.0000 0.0000 1
In1 In 0.0000 0.0000 0.5000 1
Ir1 Ir 0.0000 0.0000 0.2508 1

***

No. 3
# PBE MgInIr2, optimized geometry
# M_tot: 0.00 Bohr magnetons per cell
# formation energy from the elements: -0.053 eV/atom
# E_tot: -44.5 eV for the cell shown
data_MgInIr2
_chemical_formula_sum 'Mg2 In2 Ir4'
_space_group_name_H-M_alt 'I -4 m 2'
_space_group_IT_number 119
_space_group_name_Hall 'I -4 -2'
_cell_length_a 3.9521
_cell_length_b 3.9521
_cell_length_c 8.4567
_cell_angle_alpha 90.00
_cell_angle_beta 90.00
_cell_angle_gamma 90.00
loop_
_atom_site_label
_atom_site_type_symbol
_atom_site_fract_x
_atom_site_fract_y
_atom_site_fract_z
_atom_site_occupancy
Mg1 Mg 0.0000 0.0000 0.0000 1
In1 In 0.0000 0.5000 0.7500 1
Ir1 Ir 0.0000 0.0000 0.5000 1
Ir2 Ir 0.0000 0.5000 0.2500 1

***

No. 4
# PBE Mg3In2Ir2, optimized geometry
# M_tot: 0.00 Bohr magnetons per cell
# formation energy from the elements: -0.308 eV/atom
# E_tot: -60.3 eV for the cell shown
data_Mg3In2Ir2
_chemical_formula_sum 'Mg6 In4 Ir4'
_space_group_name_H-M_alt 'C 1 2/m 1'
_space_group_IT_number 12
_cell_length_a 8.0464
_cell_length_b 4.6540
_cell_length_c 7.6492
_cell_angle_alpha 90.00
_cell_angle_beta 110.81
_cell_angle_gamma 90.00
loop_
_space_group_symop_operation_xyz
'x,y,z'
'-x,-y,-z'
'-x,y,-z'
'x,-y,z'
'x+1/2,y+1/2,z'
'-x+1/2,-y+1/2,-z'
'-x+1/2,y+1/2,-z'
'x+1/2,-y+1/2,z'
loop_
_atom_site_label
_atom_site_type_symbol
_atom_site_fract_x
_atom_site_fract_y
_atom_site_fract_z
_atom_site_occupancy
Mg1 Mg 0.0000 0.0000 0.0000 1
Mg2 Mg 0.1358 0.0000 0.4081 1
In1 In 0.1021 0.5000 0.8042 1
Ir1 Ir 0.2383 0.5000 0.2165 1

***

No. 5
# PBE MgIn4Ir, optimized geometry
# M_tot: 0.00 Bohr magnetons per cell
# formation energy from the elements: -0.163 eV/atom
# E_tot: -89.5 eV for the cell shown
data_MgIn4Ir
_chemical_formula_sum 'Mg4 In16 Ir4'
_space_group_name_H-M_alt 'I 4/m c m'
_space_group_IT_number 140
_space_group_name_Hall '-I 4 2c'
_cell_length_a 6.9509
_cell_length_b 6.9509
_cell_length_c 11.0150
_cell_angle_alpha 90.00
_cell_angle_beta 90.00
_cell_angle_gamma 90.00
loop_
_atom_site_label
_atom_site_type_symbol
_atom_site_fract_x
_atom_site_fract_y
_atom_site_fract_z
_atom_site_occupancy
Mg1 Mg 0.0000 0.0000 0.0000 1
In1 In 0.1583 0.3417 0.1405 1
Ir1 Ir 0.0000 0.0000 0.2500 1

***

No. 6
# PBE Mg8InIr2, optimized geometry
# M_tot: 0.00 Bohr magnetons per cell
# formation energy from the elements: -0.196 eV/atom
# E_tot: -70.7 eV for the cell shown
data_Mg8InIr2
_chemical_formula_sum 'Mg16 In2 Ir4'
_space_group_name_H-M_alt 'C 1 2/m 1'
_space_group_IT_number 12
_cell_length_a 8.1726
_cell_length_b 11.9014
_cell_length_c 4.9548
_cell_angle_alpha 90.00
_cell_angle_beta 101.25
_cell_angle_gamma 90.00
loop_
_space_group_symop_operation_xyz
'x,y,z'
'-x,-y,-z'
'-x,y,-z'
'x,-y,z'
'x+1/2,y+1/2,z'
'-x+1/2,-y+1/2,-z'
'-x+1/2,y+1/2,-z'
'x+1/2,-y+1/2,z'
loop_
_atom_site_label
_atom_site_type_symbol
_atom_site_fract_x
_atom_site_fract_y
_atom_site_fract_z
_atom_site_occupancy
Mg1 Mg 0.0000 0.2425 0.0000 1
Mg2 Mg 0.1225 0.0000 0.8058 1
Mg3 Mg 0.1894 0.3629 0.5724 1
In1 In 0.0000 0.5000 0.0000 1
Ir1 Ir 0.0000 0.1762 0.5000 1

***

No. 7
# PBE Mg6In2Ir, optimized geometry
# M_tot: 0.00 Bohr magnetons per cell
# formation energy from the elements: -0.097 eV/atom
# E_tot: -49.6 eV for the cell shown
data_Mg6In2Ir
_chemical_formula_sum 'Mg12 In4 Ir2'
_space_group_name_H-M_alt 'C 1 2/m 1'
_space_group_IT_number 12
_cell_length_a 15.1781
_cell_length_b 8.1100
_cell_length_c 3.2816
_cell_angle_alpha 90.00
_cell_angle_beta 102.18
_cell_angle_gamma 90.00
loop_
_space_group_symop_operation_xyz
'x,y,z'
'-x,-y,-z'
'-x,y,-z'
'x,-y,z'
'x+1/2,y+1/2,z'
'-x+1/2,-y+1/2,-z'
'-x+1/2,y+1/2,-z'
'x+1/2,-y+1/2,z'
loop_
_atom_site_label
_atom_site_type_symbol
_atom_site_fract_x
_atom_site_fract_y
_atom_site_fract_z
_atom_site_occupancy
Mg1 Mg 0.0000 0.2343 0.0000 1
Mg2 Mg 0.1601 0.3216 0.6612 1
In1 In 0.1606 0.0000 0.1595 1
Ir1 Ir 0.0000 0.5000 0.5000 1

***

No. 8
# PBE Mg2InIr2, optimized geometry
# M_tot: 0.00 Bohr magnetons per cell
# formation energy from the elements: 0.145 eV/atom
# E_tot: -45.9 eV for the cell shown
data_Mg2InIr2
_chemical_formula_sum 'Mg4 In2 Ir4'
_space_group_name_H-M_alt 'I 4/m m m'
_space_group_IT_number 139
_space_group_name_Hall '-I 4 2'
_cell_length_a 3.6270
_cell_length_b 3.6270
_cell_length_c 15.8734
_cell_angle_alpha 90.00
_cell_angle_beta 90.00
_cell_angle_gamma 90.00
loop_
_atom_site_label
_atom_site_type_symbol
_atom_site_fract_x
_atom_site_fract_y
_atom_site_fract_z
_atom_site_occupancy
Mg1 Mg 0.0000 0.0000 0.1180 1
In1 In 0.0000 0.0000 0.5000 1
Ir1 Ir 0.0000 0.5000 0.2500 1

***

No. 9
# PBE MgIn3Ir, optimized geometry
# M_tot: 0.00 Bohr magnetons per cell
# formation energy from the elements: -0.096 eV/atom
# E_tot: -76.6 eV for the cell shown
data_MgIn3Ir
_chemical_formula_sum 'Mg4 In12 Ir4'
_space_group_name_H-M_alt 'C 1 2/m 1'
_space_group_IT_number 12
_cell_length_a 10.5786
_cell_length_b 8.4039
_cell_length_c 7.1030
_cell_angle_alpha 90.00
_cell_angle_beta 129.95
_cell_angle_gamma 90.00
loop_
_space_group_symop_operation_xyz
'x,y,z'
'-x,-y,-z'
'-x,y,-z'
'x,-y,z'
'x+1/2,y+1/2,z'
'-x+1/2,-y+1/2,-z'
'-x+1/2,y+1/2,-z'
'x+1/2,-y+1/2,z'
loop_
_atom_site_label
_atom_site_type_symbol
_atom_site_fract_x
_atom_site_fract_y
_atom_site_fract_z
_atom_site_occupancy
Mg1 Mg 0.0605 0.0000 0.2524 1
In1 In 0.0808 0.5000 0.3647 1
In2 In 0.2248 0.1854 0.7719 1
Ir1 Ir 0.2427 0.5000 0.8708 1

***

No. 10
# PBE MgIn2Ir2, optimized geometry
# M_tot: 0.00 Bohr magnetons per cell
# formation energy from the elements: -0.169 eV/atom
# E_tot: -51.3 eV for the cell shown
data_MgIn2Ir2
_chemical_formula_sum 'Mg2 In4 Ir4'
_space_group_name_H-M_alt 'P 4/m b m'
_space_group_IT_number 127
_space_group_name_Hall '-P 4 2ab'
_cell_length_a 7.6363
_cell_length_b 7.6363
_cell_length_c 3.1905
_cell_angle_alpha 90.00
_cell_angle_beta 90.00
_cell_angle_gamma 90.00
loop_
_atom_site_label
_atom_site_type_symbol
_atom_site_fract_x
_atom_site_fract_y
_atom_site_fract_z
_atom_site_occupancy
Mg1 Mg 0.0000 0.0000 0.0000 1
In1 In 0.1532 0.3468 0.5000 1
Ir1 Ir 0.1453 0.6453 0.0000 1

***

No. 11
# PBE MgIn4Ir2, optimized geometry
# M_tot: 0.00 Bohr magnetons per cell
# formation energy from the elements: -0.152 eV/atom
# E_tot: -94.0 eV for the cell shown
data_MgIn4Ir2
_chemical_formula_sum 'Mg3 In12 Ir6'
_space_group_name_H-M_alt 'R -3 m'
_space_group_IT_number 166
_space_group_name_Hall '-R 3 2"'
_cell_length_a 4.5472
_cell_length_b 4.5472
_cell_length_c 27.1132
_cell_angle_alpha 90.00
_cell_angle_beta 90.00
_cell_angle_gamma 120.00
loop_
_atom_site_label
_atom_site_type_symbol
_atom_site_fract_x
_atom_site_fract_y
_atom_site_fract_z
_atom_site_occupancy
Mg1 Mg 0.0000 0.0000 0.0000 1
In1 In 0.0000 0.0000 0.2000 1
In2 In 0.0000 0.0000 0.4013 1
Ir1 Ir 0.0000 0.0000 0.0967 1

***

No. 12
# PBE Mg6InIr, optimized geometry
# M_tot: 0.00 Bohr magnetons per cell
# formation energy from the elements: 0.075 eV/atom
# E_tot: -41.1 eV for the cell shown
data_Mg6InIr
_chemical_formula_sum 'Mg12 In2 Ir2'
_space_group_name_H-M_alt 'C 1 2/m 1'
_space_group_IT_number 12
_cell_length_a 6.3444
_cell_length_b 10.8476
_cell_length_c 6.1920
_cell_angle_alpha 90.00
_cell_angle_beta 120.67
_cell_angle_gamma 90.00
loop_
_space_group_symop_operation_xyz
'x,y,z'
'-x,-y,-z'
'-x,y,-z'
'x,-y,z'
'x+1/2,y+1/2,z'
'-x+1/2,-y+1/2,-z'
'-x+1/2,y+1/2,-z'
'x+1/2,-y+1/2,z'
loop_
_atom_site_label
_atom_site_type_symbol
_atom_site_fract_x
_atom_site_fract_y
_atom_site_fract_z
_atom_site_occupancy
Mg1 Mg 0.0183 0.2113 0.2431 1
Mg2 Mg 0.0368 0.5000 0.7703 1
In1 In 0.0000 0.0000 0.5000 1
Ir1 Ir 0.0000 0.0000 0.0000 1